{
  "formula": "MgMnSi2",
  "functional": "PBE",
  "state": "optimized geometry",
  "mass_density_g_cm3": 4.0,
  "formation_energy_uncorrected_ev_per_atom": -0.11,
  "cell": [[2.898, 0.000, 0.000], [0.000, 2.920, -0.004], [0.000, 2.192, 6.723]],
  "species": ["Mn", "Si", "Si", "Mg"],
  "fractional_positions": [[0.500, 0.750, 0.750], [0.000, 0.099, 0.941], [0.000, 0.401, 0.559], [0.500, 0.250, 0.250]]
}